Record 1
GaFeHg3: optimized geometry, GGA-PBE.

a b c (Å): 5.1086 5.1086 5.1086
angles (deg): 90.00 90.00 90.00
With the nearest neighbours (Å) after each atom.
Space group Pm-3m (No. 221)
One atom of each set of equivalent atoms:
Ga  0.0000  0.0000  0.0000 x1  12 Hg 3.61
Fe  0.5000  0.5000  0.5000 x1  6 Hg 2.55
Hg  0.0000  0.5000  0.5000 x3  2 Fe 2.55

## Properties
- D(E_F): 0.7335 states/eV/atom
- Energy: -10.08 eV/f.u.
- M_tot: 0.411 μB/atom
- Offset from the most stable computed form: 0.0000 eV per atom
- E_form: 2.311 eV/f.u.



Record 2
KZnTcGe2: optimized geometry, GGA-PBE.

a b c (Å): 4.8133 4.8133 5.0852
angles (deg): 90.00 90.00 90.00
With the nearest neighbours (Å) after each atom.
Space group P4/mmm (No. 123)
One atom of each set of equivalent atoms:
K  0.0000  0.0000  0.0000 x1  4 Zn 3.40, 8 Ge 3.50
Zn  0.5000  0.5000  0.0000 x1  2 Tc 2.54
Tc  0.5000  0.5000  0.5000 x1  4 Ge 2.41, 2 Zn 2.54
Ge  0.0000  0.5000  0.5000 x2  2 Tc 2.41

## Properties
- D(E_F): 0.2102 states/eV/atom
- Energy: -22.29 eV/f.u.
- M_tot: 0.000 μB/atom
- E_form: -0.319 eV/f.u.



Record 3
BeNbRh2: optimized geometry, GGA-PBE.

a b c (Å): 2.8801 2.8801 6.4958
angles (deg): 90.00 90.00 90.00
With the nearest neighbours (Å) after each atom.
Space group P4/mmm (No. 123)
One atom of each set of equivalent atoms:
Be  0.0000  0.0000  0.0000 x1  8 Rh 2.45
Nb  0.0000  0.0000  0.5000 x1  8 Rh 2.77, 4 Nb 2.88
Rh  0.5000  0.5000  0.2109 x2  4 Be 2.45, 1 Rh 2.74

## Properties
- D(E_F): 0.6449 states/eV/atom
- Energy: -30.65 eV/f.u.
- M_tot: 0.000 μB/atom
- E_form: -2.147 eV/f.u.



Record 4
TaHg4Rh: optimized geometry, GGA-PBE.

a b c (Å): 7.8922 7.8922 7.8922
angles (deg): 90.00 90.00 90.00
With the nearest neighbours (Å) after each atom.
Space group F-43m (No. 216)
One atom of each set of equivalent atoms:
Ta  0.0000  0.0000  0.0000 x4  12 Hg 3.27, 4 Rh 3.42
Hg  0.1250  0.1250  0.6250 x16  6 Hg 2.79
Rh  0.2500  0.2500  0.2500 x4  12 Hg 3.27, 4 Ta 3.42

## Properties
- D(E_F): 0.4853 states/eV/atom
- Energy: -15.64 eV/f.u.
- M_tot: 0.336 μB/atom
- E_form: 4.774 eV/f.u.



Record 5
Ca3Ag2Hg7: optimized geometry, GGA-PBE.

a b c (Å): 4.7836 4.0916 15.9849
angles (deg): 90.00 96.90 90.00
With the nearest neighbours (Å) after each atom.
Space group P2/m (No. 10)
One atom of each set of equivalent atoms:
Ca  0.0000  0.0000  0.0000 x1  8 Hg 3.14-3.15
Ca  0.3131  0.5000  0.6371 x2  4 Ag 3.39-3.44, 8 Hg 3.43-3.63
Ag  0.1463  0.0000  0.2800 x2  5 Hg 2.73-2.94
Hg  0.0830  0.5000  0.1500 x2  2 Ag 2.91, 2 Ca 3.14, 4 Hg 3.15-3.20
Hg  0.2306  0.0000  0.4522 x2  1 Ag 2.73, 2 Hg 2.83
Hg  0.4004  0.0000  0.8258 x2  2 Ag 2.91-2.94, 4 Hg 3.15-3.20
Hg  0.5000  0.5000  0.0000 x1  4 Ca 3.15, 8 Hg 3.30-3.45

## Properties
- D(E_F): 0.3818 states/eV/atom
- Energy: -17.23 eV/f.u.
- M_tot: 0.000 μB/atom
- E_form: -3.410 eV/f.u.



Record 6
Mg2CoAsN: optimized geometry, GGA-PBE.

a b c (Å): 4.3107 4.3107 3.8049
angles (deg): 90.00 90.00 90.00
With the nearest neighbours (Å) after each atom.
Space group P4/mmm (No. 123)
One atom of each set of equivalent atoms:
Mg  0.0000  0.5000  0.0000 x2  2 N 2.16
Co  0.0000  0.0000  0.5000 x1  2 N 1.90
As  0.5000  0.5000  0.5000 x1  8 Mg 2.87, 4 Co 3.05
N  0.0000  0.0000  0.0000 x1  2 Co 1.90

## Properties
- D(E_F): 0.4816 states/eV/atom
- Energy: -24.98 eV/f.u.
- M_tot: 0.447 μB/atom
- Formation energy from raw total energies: -342.7 meV/atom



Record 7
AlTe2Rh: optimized geometry, GGA-PBE.

a b c (Å): 3.8051 4.0944 5.6301
angles (deg): 90.00 90.00 90.00
With the nearest neighbours (Å) after each atom.
Space group Pmmm (No. 47)
One atom of each set of equivalent atoms:
Al  0.0000  0.0000  0.0000 x1  4 Te 2.79
Te  0.0000  0.5000  0.5000 x1  4 Rh 2.79
Te  0.5000  0.5000  0.0000 x1  4 Al 2.79
Rh  0.5000  0.0000  0.5000 x1  4 Te 2.79

## Properties
- D(E_F): 0.6778 states/eV/atom
- Energy: -16.41 eV/f.u.
- M_tot: 0.000 μB/atom
- Formation energy from raw total energies: 242.5 meV/atom



Record 8
Cs2MnGaTe4: optimized geometry, GGA-PBE.

a b c (Å): 6.6982 15.2428 26.2194
angles (deg): 90.00 90.00 90.00
With the nearest neighbours (Å) after each atom.
Space group Fddd (No. 70, origin choice 2)
One atom of each set of equivalent atoms:
Cs  0.1250  0.1250  0.3069 x16  8 Te 3.99-4.11
Mn  0.1250  0.1250  0.1250 x8  4 Te 2.66
Ga  0.1250  0.1250  0.6250 x8  4 Te 2.65
Te  0.1237  0.2790  0.8194 x32  1 Ga 2.65, 1 Mn 2.66

## Properties
- D(E_F): 0.4257 states/eV/atom
- Energy: -31.51 eV/f.u.
- M_tot: 0.500 μB/atom
- Formation energy from raw total energies: -629.6 meV/atom



Which formula does entry 1 have?
GaFeHg3